Record 1
The following is a DFT calculation (PBE) of a relaxed AcSbAsAu crystal.

Structure (CIF):
```
data_AcSbAsAu
_chemical_formula_sum 'Ac4 Sb4 As4 Au4'
_cell_length_a 7.485
_cell_length_b 7.485
_cell_length_c 7.485
_cell_angle_alpha 90.00
_cell_angle_beta 90.00
_cell_angle_gamma 90.00
_symmetry_space_group_name_H-M 'F -4 3 m'
_symmetry_Int_Tables_number 216
_symmetry_space_group_name_Hall 'F -4 2 3'
loop_
_atom_site_label
_atom_site_type_symbol
_atom_site_fract_x
_atom_site_fract_y
_atom_site_fract_z
Ac1 Ac 0.000 0.000 0.000
Sb1 Sb 0.000 0.000 0.500
As1 As 0.250 0.250 0.750
Au1 Au 0.250 0.250 0.250
```

Properties
Total moment: 0.000 μB/atom
Formation energy (no corrections): -522 meV/atom
Density of states at the Fermi level: 3.68 states/eV/f.u.

---

Record 2
The following is a DFT calculation (PBE) of a relaxed Ac4AsAuSe2 crystal.

Structure (CIF):
```
data_Ac4AsAuSe2
_chemical_formula_sum 'Ac4 As1 Au1 Se2'
_cell_length_a 7.861
_cell_length_b 4.473
_cell_length_c 7.903
_cell_angle_alpha 90.00
_cell_angle_beta 109.01
_cell_angle_gamma 90.00
_symmetry_space_group_name_H-M 'P 1 2/m 1'
_symmetry_Int_Tables_number 10
loop_
_symmetry_equiv_pos_as_xyz
'x,y,z'
'-x,-y,-z'
'-x,y,-z'
'x,-y,z'
loop_
_atom_site_label
_atom_site_type_symbol
_atom_site_fract_x
_atom_site_fract_y
_atom_site_fract_z
Ac1 Ac 0.244 0.000 0.249
Ac2 Ac 0.246 0.500 0.744
As1 As 0.000 0.000 0.500
Au1 Au 0.000 0.500 0.000
Se1 Se 0.500 0.000 0.000
Se2 Se 0.500 0.500 0.500
```

Properties
Total moment: 0.000 μB/atom
Formation energy (no corrections): -1482 meV/atom
Density of states at the Fermi level: 6.54 states/eV/f.u.

---

Record 3
The following is a DFT calculation (PBE) of a relaxed AcSmAsAu crystal.

Structure (CIF):
```
data_AcSmAsAu
_chemical_formula_sum 'Ac4 Sm4 As4 Au4'
_cell_length_a 7.568
_cell_length_b 7.568
_cell_length_c 7.568
_cell_angle_alpha 90.00
_cell_angle_beta 90.00
_cell_angle_gamma 90.00
_symmetry_space_group_name_H-M 'F -4 3 m'
_symmetry_Int_Tables_number 216
_symmetry_space_group_name_Hall 'F -4 2 3'
loop_
_atom_site_label
_atom_site_type_symbol
_atom_site_fract_x
_atom_site_fract_y
_atom_site_fract_z
Ac1 Ac 0.000 0.000 0.000
Sm1 Sm 0.000 0.000 0.500
As1 As 0.250 0.250 0.250
Au1 Au 0.250 0.250 0.750
```

Properties
Total moment: 0.221 μB/atom
Electronic total energy: -5.03 eV per atom
Density of states at the Fermi level: 4.53 states/eV/f.u.

---

Record 4
The following is a DFT calculation (PBE) of a relaxed SrAcAsAu crystal.

Structure (CIF):
```
data_SrAcAsAu
_chemical_formula_sum 'Sr4 Ac4 As4 Au4'
_cell_length_a 7.726
_cell_length_b 7.726
_cell_length_c 7.726
_cell_angle_alpha 90.00
_cell_angle_beta 90.00
_cell_angle_gamma 90.00
_symmetry_space_group_name_H-M 'F -4 3 m'
_symmetry_Int_Tables_number 216
_symmetry_space_group_name_Hall 'F -4 2 3'
loop_
_atom_site_label
_atom_site_type_symbol
_atom_site_fract_x
_atom_site_fract_y
_atom_site_fract_z
Sr1 Sr 0.000 0.000 0.000
Ac1 Ac 0.000 0.000 0.500
As1 As 0.250 0.250 0.250
Au1 Au 0.250 0.250 0.750
```

Properties
Total moment: 0.000 μB/atom
Electronic total energy: -4.33 eV per atom
Density of states at the Fermi level: 2.39 states/eV/f.u.

---

Record 5
The following is a DFT calculation (PBE) of a relaxed SrAcAs2Au2 crystal.

Structure (CIF):
```
data_SrAcAs2Au2
_chemical_formula_sum 'Sr1 Ac1 As2 Au2'
_cell_length_a 4.5352
_cell_length_b 4.5352
_cell_length_c 8.7115
_cell_angle_alpha 90.00
_cell_angle_beta 90.00
_cell_angle_gamma 120.00
_symmetry_space_group_name_H-M 'P -3 m 1'
_symmetry_Int_Tables_number 164
_symmetry_space_group_name_Hall '-P 3 2"'
loop_
_atom_site_label
_atom_site_type_symbol
_atom_site_fract_x
_atom_site_fract_y
_atom_site_fract_z
Sr1 Sr 0.0000 0.0000 0.0000
Ac1 Ac 0.0000 0.0000 0.5000
As1 As 0.3333 0.6667 0.7594
Au1 Au 0.3333 0.6667 0.2648
```

Properties
Total moment: 0.000 μB/atom
Electronic total energy: -4.55 eV per atom
Density of states at the Fermi level: 2.80 states/eV/f.u.

---

Record 6
The following is a DFT calculation (PBE) of a relaxed Ac8Te4As3Au crystal.

Structure (CIF):
```
data_Ac8Te4As3Au
_chemical_formula_sum 'Ac24 Te12 As9 Au3'
_cell_length_a 9.2451
_cell_length_b 9.2451
_cell_length_c 23.1067
_cell_angle_alpha 90.00
_cell_angle_beta 90.00
_cell_angle_gamma 120.00
_symmetry_space_group_name_H-M 'R -3 m'
_symmetry_Int_Tables_number 166
_symmetry_space_group_name_Hall '-R 3 2"'
loop_
_atom_site_label
_atom_site_type_symbol
_atom_site_fract_x
_atom_site_fract_y
_atom_site_fract_z
Ac1 Ac 0.0000 0.0000 0.2411
Ac2 Ac 0.0012 0.5006 0.7577
Te1 Te 0.0000 0.0000 0.0000
Te2 Te 0.0000 0.5000 0.0000
As1 As 0.0000 0.5000 0.5000
Au1 Au 0.0000 0.0000 0.5000
```

Properties
Total moment: 0.000 μB/atom
Formation energy (no corrections): -1433 meV/atom
Density of states at the Fermi level: 11.70 states/eV/f.u.